Below is a geometry-optimized Sr3HfPt structure, with properties calculated at the GGA-PBE level.

Calculated values
Space group = Pm-3m
Formation enthalpy at 0 K = 0.281 eV/atom
DOS at the Fermi energy = 9.0 states/eV/f.u.
Relative energy among the computed polymorphs = 0 meV/atom

Cell and atoms, written as POSCAR:
```
Sr3HfPt
1.0
5.816 0.000 0.000
0.000 5.816 0.000
0.000 0.000 5.816
Sr Hf Pt
3 1 1
direct
0.000 0.500 0.000
0.000 0.000 0.500
0.500 0.000 0.000
0.500 0.500 0.500
0.000 0.000 0.000
```

Below is a geometry-optimized Tl6AgHg12 structure, with properties calculated at the GGA-PBE level.

Calculated values
Space group = R-3
Formation enthalpy at 0 K = 0.022 eV/atom
DOS at the Fermi energy = 7.8 states/eV/f.u.
Relative energy among the computed polymorphs = 0 meV/atom

Cell and atoms, written as POSCAR:
```
Tl6AgHg12
1.0
8.166 0.257 0.307
-0.984 8.111 0.307
-0.984 -1.147 8.035
Tl Ag Hg
6 1 12
direct
0.701 0.874 0.263
0.737 0.299 0.126
0.126 0.737 0.299
0.299 0.126 0.737
0.263 0.701 0.874
0.874 0.263 0.701
0.000 0.000 0.000
0.791 0.551 0.470
0.470 0.791 0.551
0.551 0.470 0.791
0.209 0.449 0.530
0.530 0.209 0.449
0.449 0.530 0.209
0.035 0.131 0.355
0.869 0.645 0.965
0.645 0.965 0.869
0.965 0.869 0.645
0.131 0.355 0.035
0.355 0.035 0.131
```

These records have size of the total moment values of 1.55 0.00 μB per formula unit, in the order they appear.